Density functional theory data (PBE) for a relaxed Er4GeSe3 crystal.

Summary:
Density   8515 kg/m3
Total DFT energy (no corrections)   -5.746 eV per atom

Cell and atoms, written as CIF:
```
data_Er4GeSe3
_chemical_formula_sum 'Er4 Ge1 Se3'
_space_group_name_H-M_alt 'P 1'
_space_group_IT_number 1
_space_group_name_Hall 'P 1'
_cell_length_a 7.054
_cell_length_b 7.054
_cell_length_c 4.067
_cell_angle_alpha 90.00
_cell_angle_beta 90.00
_cell_angle_gamma 109.45
loop_
_atom_site_label
_atom_site_fract_x
_atom_site_fract_y
_atom_site_fract_z
_atom_site_occupancy
Er1 0.238 0.238 0.500 1
Er2 0.243 0.757 0.000 1
Er3 0.757 0.243 0.000 1
Er4 0.762 0.762 0.500 1
Ge1 0.000 0.000 0.000 1
Se1 0.000 0.500 0.500 1
Se2 0.500 0.000 0.500 1
Se3 0.500 0.500 0.000 1
```